Entry 1:
Below is a relaxed ZnCu4NiSn2 crystal, with properties calculated at the PBE level. Values from VASP.

Structure (Quantum ESPRESSO input):
```
&SYSTEM
  ibrav = 0, nat = 8, ntyp = 4
/
ATOMIC_SPECIES
Zn 65.41 Zn.upf
Cu 63.55 Cu.upf
Ni 58.69 Ni.upf
Sn 118.71 Sn.upf
CELL_PARAMETERS angstrom
4.3641 0.0000 0.0000
0.0000 4.3641 0.0000
0.0000 0.0000 6.1635
ATOMIC_POSITIONS angstrom
Zn 0.0000 0.0000 0.0000
Cu 0.0000 2.1820 1.5708
Cu 0.0000 2.1820 4.5927
Cu 2.1820 0.0000 1.5708
Cu 2.1820 0.0000 4.5927
Ni 2.1820 2.1820 3.0817
Sn 0.0000 0.0000 3.0817
Sn 2.1820 2.1820 0.0000
```

Results
Space group   P4/mmm, No. 123
Calculated density   8.71 Mg/m³
Raw total energy   -3.6505 eV per atom
Magnetic moment   0.00 μB/f.u.

Entry 2:
Below is a relaxed LiGePd2 crystal, with properties calculated at the PBE level. Values from VASP.

Structure (Quantum ESPRESSO input):
```
&SYSTEM
  ibrav = 0, nat = 16, ntyp = 3
/
ATOMIC_SPECIES
Li 6.94 Li.upf
Ge 72.64 Ge.upf
Pd 106.42 Pd.upf
CELL_PARAMETERS angstrom
6.0808 0.0000 0.0000
0.0000 6.0808 0.0000
0.0000 0.0000 6.0808
ATOMIC_POSITIONS angstrom
Li 0.0000 0.0000 0.0000
Li 0.0000 3.0404 3.0404
Li 3.0404 0.0000 3.0404
Li 3.0404 3.0404 0.0000
Ge 0.0000 0.0000 3.0404
Ge 0.0000 3.0404 0.0000
Ge 3.0404 0.0000 0.0000
Ge 3.0404 3.0404 3.0404
Pd 1.5202 1.5202 1.5202
Pd 1.5202 1.5202 4.5606
Pd 1.5202 4.5606 1.5202
Pd 1.5202 4.5606 4.5606
Pd 4.5606 1.5202 1.5202
Pd 4.5606 1.5202 4.5606
Pd 4.5606 4.5606 1.5202
Pd 4.5606 4.5606 4.5606
```

Results
Space group   Fm-3m, No. 225
Calculated density   8.64 Mg/m³
Raw total energy   -4.8318 eV per atom

Entry 3:
Below is a relaxed PmNdO2F2 crystal, with properties calculated at the PBE level. Values from VASP.

Structure (Quantum ESPRESSO input):
```
&SYSTEM
  ibrav = 0, nat = 6, ntyp = 4
/
ATOMIC_SPECIES
Pm 145.00 Pm.upf
Nd 144.24 Nd.upf
O 16.00 O.upf
F 19.00 F.upf
CELL_PARAMETERS angstrom
3.7632 0.0000 0.0000
0.0000 3.7632 0.0000
0.0000 0.0000 5.9474
ATOMIC_POSITIONS angstrom
Pm 0.0000 0.0000 0.0000
Nd 1.8816 1.8816 2.5196
O 0.0000 1.8816 1.2429
O 1.8816 0.0000 1.2429
F 0.0000 0.0000 3.5627
F 1.8816 1.8816 4.9136
```

Results
Space group   P4mm, No. 99
Calculated density   7.08 Mg/m³
Raw total energy   -7.5291 eV per atom
Magnetic moment   0.00 μB/f.u.

Entry 4:
Below is a relaxed MgBeZnAs crystal, with properties calculated at the PBE level. Values from VASP.

Structure (Quantum ESPRESSO input):
```
&SYSTEM
  ibrav = 0, nat = 16, ntyp = 4
/
ATOMIC_SPECIES
Mg 24.30 Mg.upf
Be 9.01 Be.upf
Zn 65.41 Zn.upf
As 74.92 As.upf
CELL_PARAMETERS angstrom
6.4218 0.0000 0.0000
0.0000 6.4218 0.0000
0.0000 0.0000 6.4218
ATOMIC_POSITIONS angstrom
Mg 0.0000 0.0000 0.0000
Mg 0.0000 3.2109 3.2109
Mg 3.2109 0.0000 3.2109
Mg 3.2109 3.2109 0.0000
Be 1.6054 1.6054 1.6054
Be 1.6054 4.8163 4.8163
Be 4.8163 1.6054 4.8163
Be 4.8163 4.8163 1.6054
Zn 1.6054 1.6054 4.8163
Zn 1.6054 4.8163 1.6054
Zn 4.8163 1.6054 1.6054
Zn 4.8163 4.8163 4.8163
As 0.0000 0.0000 3.2109
As 0.0000 3.2109 0.0000
As 3.2109 0.0000 0.0000
As 3.2109 3.2109 3.2109
```

Results
Space group   F-43m, No. 216
Calculated density   4.36 Mg/m³
Raw total energy   -2.4589 eV per atom
Excess energy over the best structure of this formula in the dataset   7.6 kJ per mole of atoms